! PBE MnFeCo, relaxed; values from VASP
&SYSTEM
  ibrav = 0, nat = 3, ntyp = 3
/
ATOMIC_SPECIES
Co 58.93 Co.upf
Mn 54.94 Mn.upf
Fe 55.84 Fe.upf
CELL_PARAMETERS angstrom
4.3307 0.0029 0.0008
2.1956 3.7329 -0.0008
-2.9033 -2.4965 2.0232
ATOMIC_POSITIONS crystal
Co 0.0002 0.0002 0.0000
Mn 0.6657 0.6657 0.0000
Fe 0.3341 0.3341 0.0000
! Calculated volume: 33 Å³/cell
! Energy above the lowest structure with this stoichiometry: 0.02 eV per formula unit
! ΔH_f (0 K): 0.05 eV/atom